Entry from Alexandria: crystalline TbSi2Tc2B at its relaxed geometry (PBE).

Cell: 4.212 4.212 5.221 Å, 90.00 90.00 90.00°
Positions (direct):
Tb: 0.000 0.000 0.500
Si: 0.500 0.500 0.732
Si: 0.500 0.500 0.268
Tc: 0.500 0.000 0.000
Tc: 0.000 0.500 0.000
B: 0.000 0.000 0.000

Results
symmetry: No. 123
calculated volume: 93 Å³ per cell
raw formation energy: -633 meV/atom

***

Entry from Alexandria: crystalline Li12TlZn2 at its relaxed geometry (PBE).

Cell: 5.318 5.318 21.800 Å, 90.00 90.00 90.00°
Positions (direct):
Li: 0.500 0.500 0.794
Li: 0.000 0.000 0.794
Li: 0.750 0.750 0.896
Li: 0.250 0.750 0.896
Li: 0.000 0.000 0.329
Li: 0.250 0.750 0.104
Li: 0.813 0.313 0.559
Li: 0.500 0.500 0.329
Li: 0.250 0.250 0.896
Li: 0.750 0.750 0.104
Li: 0.313 0.187 0.559
Li: 0.687 0.187 0.441
Li: 0.000 0.000 0.671
Li: 0.187 0.313 0.441
Li: 0.250 0.250 0.104
Li: 0.813 0.687 0.441
Li: 0.687 0.813 0.559
Li: 0.000 0.000 0.206
Li: 0.187 0.687 0.559
Li: 0.500 0.500 0.671
Li: 0.750 0.250 0.896
Li: 0.500 0.500 0.206
Li: 0.313 0.813 0.441
Li: 0.750 0.250 0.104
Tl: 0.500 0.000 0.000
Tl: 0.000 0.500 0.000
Zn: 0.500 0.000 0.206
Zn: 0.000 0.500 0.206
Zn: 0.000 0.500 0.794
Zn: 0.500 0.000 0.794

Results
symmetry: No. 125
calculated volume: 617 Å³ per cell
formation energy: 78 meV per atom

***

Number 1: total energy -7.780 eV per atom. Number 2: total energy -1.780 eV per atom.